This record from Alexandria via LeMat-Bulk describes a relaxed CrNi2Br crystal. The functional is PBE.

Computed properties:
Excess energy over the best structure of this formula in the dataset, eV per atom: 0.0756
DOS at the Fermi energy, states/eV per atom: 0.985

Structure (CIF):
```
data_CrNi2Br
_chemical_formula_sum 'Cr2 Ni4 Br2'
_symmetry_space_group_name_H-M 'C m m m'
_symmetry_Int_Tables_number 65
_symmetry_space_group_name_Hall '-C 2 2'
_cell_length_a 4.486
_cell_length_b 4.493
_cell_length_c 5.779
_cell_angle_alpha 90.00
_cell_angle_beta 90.00
_cell_angle_gamma 90.00
loop_
_atom_site_label
_atom_site_type_symbol
_atom_site_fract_x
_atom_site_fract_y
_atom_site_fract_z
Cr1 Cr 0.000 0.000 0.000
Ni1 Ni 0.000 0.500 0.209
Br1 Br 0.000 0.000 0.500
```

---

This record from Alexandria via LeMat-Bulk describes a relaxed CrNiBr crystal. The functional is PBE.

Computed properties:
Excess energy over the best structure of this formula in the dataset, eV per atom: 0.9691
DOS at the Fermi energy, states/eV per atom: 1.123

Structure (CIF):
```
data_CrNiBr
_chemical_formula_sum 'Cr4 Ni4 Br4'
_symmetry_space_group_name_H-M 'F -4 3 m'
_symmetry_Int_Tables_number 216
_symmetry_space_group_name_Hall 'F -4 2 3'
_cell_length_a 6.024
_cell_length_b 6.024
_cell_length_c 6.024
_cell_angle_alpha 90.00
_cell_angle_beta 90.00
_cell_angle_gamma 90.00
loop_
_atom_site_label
_atom_site_type_symbol
_atom_site_fract_x
_atom_site_fract_y
_atom_site_fract_z
Cr1 Cr 0.000 0.000 0.000
Ni1 Ni 0.000 0.000 0.500
Br1 Br 0.250 0.250 0.750
```

---

no.,total magnetization (μB/cell)
1,5.86
2,18.53